Compound: Zn2AgIr
Source: the Alexandria database
Functional: PBEsol
Structure: relaxed

Summary:
- magnetization (μB/f.u.) = 0.000
- N(E_F) (states/eV/f.u.) = 1.198
- crystal system = tetragonal
- ΔH_f (0 K) (eV/f.u.) = -0.56

Unit cell a=4.322 b=4.322 c=3.008 alpha=90.00 beta=90.00 gamma=90.00
Fractional positions:
Zn 0.000 0.500 0.000
Zn 0.500 0.000 0.000
Ag 0.000 0.000 0.500
Ir 0.500 0.500 0.500